{
  "formula": "CaAlOs2",
  "functional": "PBE",
  "state": "optimized geometry",
  "cell": [[4.9434, -3.3536, 0.0000], [4.9434, 3.3536, 0.0000], [-3.9423, 0.0000, 4.9848]],
  "species": ["Ca", "Ca", "Al", "Al", "Os", "Os", "Os", "Os"],
  "frac_coords": [[0.2421, 0.2421, 0.0992], [0.7579, 0.7579, 0.9008], [0.1324, 0.6796, 0.6114], [0.3204, 0.8676, 0.3886], [0.4564, 0.3246, 0.7565], [0.6754, 0.5436, 0.2435], [0.7490, 0.0334, 0.5316], [0.9666, 0.2510, 0.4684]],
  "dft_energy_ry_per_atom": -0.5216,
  "crystal_system": "monoclinic",
  "spacegroup": "C2 (5)"
}



{
  "formula": "CaAl2Os2",
  "functional": "PBE",
  "state": "optimized geometry",
  "cell": [[-2.1470, 2.1470, 5.1135], [2.1470, -2.1470, 5.1135], [2.1470, 2.1470, -5.1135]],
  "species": ["Ca", "Al", "Al", "Os", "Os"],
  "frac_coords": [[0.0000, 0.0000, 0.0000], [0.2500, 0.7500, 0.5000], [0.7500, 0.2500, 0.5000], [0.3837, 0.3837, 0.0000], [0.6163, 0.6163, 0.0000]],
  "de_polymorph_mev_per_atom": 42,
  "crystal_system": "tetragonal",
  "spacegroup": "I4/mmm (139)"
}



{
  "formula": "CaAlOs2",
  "functional": "PBE",
  "state": "optimized geometry",
  "cell": [[-1.4859, 2.4597, 4.5728], [1.4859, -2.4597, 4.5728], [1.4859, 2.4597, -4.5728]],
  "species": ["Ca", "Al", "Os", "Os"],
  "frac_coords": [[0.0000, 0.0000, 0.0000], [0.5000, 0.5000, 0.0000], [0.2792, 0.7792, 0.5000], [0.7208, 0.2208, 0.5000]],
  "dft_energy_ry_per_atom": -0.4938,
  "crystal_system": "orthorhombic",
  "spacegroup": "Immm (71)"
}



{
  "formula": "CaAlOs2",
  "functional": "PBE",
  "state": "optimized geometry",
  "cell": [[5.2869, -2.2481, 0.0000], [5.2869, 2.2481, 0.0000], [-4.2712, 0.0000, 6.2848]],
  "species": ["Ca", "Ca", "Al", "Al", "Os", "Os", "Os", "Os"],
  "frac_coords": [[0.1726, 0.1726, 0.2923], [0.8274, 0.8274, 0.7077], [0.2075, 0.2075, 0.8875], [0.7925, 0.7925, 0.1125], [0.0000, 0.0000, 0.5000], [0.4503, 0.4503, 0.2797], [0.5000, 0.5000, 0.0000], [0.5497, 0.5497, 0.7203]],
  "dft_energy_ry_per_atom": -0.5228,
  "crystal_system": "monoclinic",
  "spacegroup": "C2/m (12)"
}



{
  "formula": "CaAl2Os",
  "functional": "PBE",
  "state": "optimized geometry",
  "cell": [[4.2817, -1.7280, 0.0000], [4.2817, 1.7280, 0.0000], [-1.4652, 0.0000, 5.3202]],
  "species": ["Ca", "Al", "Al", "Os"],
  "frac_coords": [[0.0000, 0.0000, 0.0000], [0.2225, 0.2225, 0.6545], [0.7775, 0.7775, 0.3455], [0.5000, 0.5000, 0.5000]],
  "dft_energy_ry_per_atom": -0.3937,
  "crystal_system": "monoclinic",
  "spacegroup": "C2/m (12)"
}



{
  "formula": "CaAlOs",
  "functional": "PBE",
  "state": "optimized geometry",
  "cell": [[2.9052, -6.1921, 0.0000], [2.9052, 6.1921, 0.0000], [0.0000, 0.0000, 7.7429]],
  "species": ["Ca", "Ca", "Ca", "Ca", "Al", "Al", "Al", "Al", "Os", "Os", "Os", "Os"],
  "frac_coords": [[0.1733, 0.8267, 0.8860], [0.3267, 0.6733, 0.3860], [0.6733, 0.3267, 0.6140], [0.8267, 0.1733, 0.1140], [0.1669, 0.3331, 0.7500], [0.3331, 0.1669, 0.2500], [0.6669, 0.8331, 0.7500], [0.8331, 0.6669, 0.2500], [0.0949, 0.9051, 0.4973], [0.4051, 0.5949, 0.9973], [0.5949, 0.4051, 0.0027], [0.9051, 0.0949, 0.5027]],
  "dft_energy_ry_per_atom": -0.4067,
  "crystal_system": "orthorhombic",
  "spacegroup": "Cmce (64)"
}



no.,total magnetization (μB/f.u.),DOS(E_F) (states/eV per atom)
1,0.0,0.585
2,0.0,0.235
3,0.0,0.789
4,0.0,0.343
5,0.0,0.149
6,0.0,0.745